1.
DFT (PBE) results for a geometry-optimized CsOs2Au4 structure.

**Uncorrected energy**: -4.392 eV/atom

Unit cell a=9.199 b=10.722 c=2.831 alpha=90.00 beta=90.10 gamma=90.00
Space group C2/m (No. 12)
One atom of each set of equivalent atoms:
Cs 0.000 0.000 0.000 [2 per cell]
Os 0.250 0.250 0.500 [4 per cell]
Au 0.000 0.304 0.000 [4 per cell]
Au 0.170 0.500 0.498 [4 per cell]

=====

2.
DFT (PBE) results for a geometry-optimized TmCoOs structure.

**Relative energy among the computed polymorphs**: 1511 meV/atom
**E_form**: 1.19 eV per atom
**Uncorrected energy**: -6.414 eV/atom

Unit cell a=6.198 b=6.198 c=6.198 alpha=90.00 beta=90.00 gamma=90.00
Space group F-43m (No. 216)
One atom of each set of equivalent atoms:
Tm 0.000 0.000 0.000 [4 per cell]
Co 0.250 0.250 0.750 [4 per cell]
Os 0.250 0.250 0.250 [4 per cell]

=====

3.
DFT (PBE) results for a geometry-optimized Sr2NdMg3Tl2Cd structure.

**Uncorrected energy**: -2.330 eV/atom

Unit cell a=4.847 b=13.775 c=7.948 alpha=90.00 beta=90.00 gamma=90.00
Space group Amm2 (No. 38)
One atom of each set of equivalent atoms:
Sr 0.000 0.211 0.000 [4 per cell]
Nd 0.000 0.000 0.632 [2 per cell]
Mg 0.500 0.000 0.975 [2 per cell]
Mg 0.500 0.116 0.330 [4 per cell]
Tl 0.500 0.159 0.706 [4 per cell]
Cd 0.000 0.000 0.217 [2 per cell]

=====

4.
DFT (PBE) results for a geometry-optimized NbTlCuTe2S structure.

**Uncorrected energy**: -4.794 eV/atom

Unit cell a=3.790 b=15.618 c=9.841 alpha=90.00 beta=90.00 gamma=90.00
Space group Cmcm (No. 63)
One atom of each set of equivalent atoms:
Nb 0.000 0.000 0.000 [4 per cell]
Tl 0.000 0.268 0.250 [4 per cell]
Cu 0.000 0.473 0.750 [4 per cell]
Te 0.000 0.366 0.548 [8 per cell]
S 0.000 0.054 0.750 [4 per cell]